No. 1
MgScCl2 | GGA-PBE | optimized geometry

The structure in POSCAR format:
```
MgScCl2
1.0
-2.7495 -3.3771 0.1887
1.6912 -1.5251 -2.6534
3.4479 -2.5802 4.0623
Cl Mg Sc
2 1 1
direct
0.0000 0.9625 0.9844 Cl
0.0000 0.5375 0.5156 Cl
0.5000 0.2500 0.2500 Mg
0.5000 0.7500 0.7500 Sc
```

Output
The mass density is 2.58 Mg/m³. As for the total DFT energy (no corrections): -3.829 eV per atom. The density of states at the Fermi level comes out at 0.604 states/eV per atom. As for the space group: P2/m (10). As for the formation energy (no corrections): -0.92 eV/atom. The energy above the most stable polymorph in this dataset is 308 meV per atom. Its total magnetic moment is 0.000 μB/atom.



No. 2
MgScCl4 | GGA-PBE | optimized geometry

The structure in POSCAR format:
```
MgScCl4
1.0
-1.9199 0.9263 2.8785
1.7149 -5.6504 2.9622
5.2532 3.1766 2.4814
Mg Sc Cl
1 1 4
direct
0.0000 0.0000 0.0000 Mg
0.5000 0.0000 0.5000 Sc
0.0000 0.7798 0.6771 Cl
0.5000 0.2095 0.8436 Cl
0.5000 0.7905 0.1564 Cl
0.0000 0.2202 0.3229 Cl
```

Output
The mass density is 2.24 Mg/m³. As for the total DFT energy (no corrections): -4.377 eV per atom. The density of states at the Fermi level comes out at 0.302 states/eV per atom. As for the space group: P2/m (10). As for the formation energy (no corrections): -1.82 eV/atom. The energy above the most stable polymorph in this dataset is 0 meV per atom. Its total magnetic moment is 0.134 μB/atom.



No. 3
MgScCl2 | GGA-PBE | optimized geometry

The structure in POSCAR format:
```
MgScCl2
1.0
4.7109 0.0000 0.0000
0.0000 4.7109 0.0000
0.0000 0.0000 3.8049
Cl Mg Sc
2 1 1
direct
0.0000 0.0000 0.0000 Cl
0.5000 0.5000 0.0000 Cl
0.5000 0.0000 0.5000 Mg
0.0000 0.5000 0.5000 Sc
```

Output
The mass density is 2.76 Mg/m³. As for the total DFT energy (no corrections): -3.546 eV per atom. The density of states at the Fermi level comes out at 0.705 states/eV per atom. As for the space group: P4/mmm (123). As for the formation energy (no corrections): -0.64 eV/atom. The energy above the most stable polymorph in this dataset is 591 meV per atom. Its total magnetic moment is 0.290 μB/atom.



No. 4
Mg2ScCl | GGA-PBE | optimized geometry

The structure in POSCAR format:
```
Mg2ScCl
1.0
-4.6000 -7.3929 -3.4167
-2.5504 -6.6926 -6.0162
-1.4313 -8.5794 -3.4401
Cl Mg Sc
1 2 1
direct
0.7500 0.7500 0.7500 Cl
0.0080 0.0080 0.0080 Mg
0.4920 0.4920 0.4920 Mg
0.2500 0.2500 0.2500 Sc
```

Output
The mass density is 2.36 Mg/m³. As for the total DFT energy (no corrections): -3.320 eV per atom. The density of states at the Fermi level comes out at 0.946 states/eV per atom. As for the space group: R-3m (166). As for the formation energy (no corrections): -0.48 eV/atom. The energy above the most stable polymorph in this dataset is 104 meV per atom. Its total magnetic moment is 0.102 μB/atom.



No. 5
MgScCl | GGA-PBE | optimized geometry

The structure in POSCAR format:
```
MgScCl
1.0
7.7997 0.0455 0.0000
6.4230 4.4251 0.0000
-7.1114 -2.2353 2.2954
Cl Mg Sc
1 1 1
direct
0.0510 0.0510 0.0000 Cl
0.2986 0.2986 0.0000 Mg
0.6504 0.6504 0.0000 Sc
```

Output
The mass density is 2.21 Mg/m³. As for the total DFT energy (no corrections): -3.946 eV per atom. The density of states at the Fermi level comes out at 0.700 states/eV per atom. As for the space group: I4mm (107). As for the formation energy (no corrections): -0.69 eV/atom. The energy above the most stable polymorph in this dataset is 107 meV per atom. Its total magnetic moment is 0.348 μB/atom.



No. 6
Mg2ScCl | GGA-PBE | optimized geometry

The structure in POSCAR format:
```
Mg2ScCl
1.0
-5.9840 0.3794 1.2546
-3.7190 -4.8153 -0.7130
4.8718 2.5377 2.7115
Cl Mg Sc
1 2 1
direct
0.2500 0.7500 0.5000 Cl
0.0119 0.0119 0.0000 Mg
0.4881 0.4881 0.0000 Mg
0.7500 0.2500 0.5000 Sc
```

Output
The mass density is 2.45 Mg/m³. As for the total DFT energy (no corrections): -3.175 eV per atom. The density of states at the Fermi level comes out at 0.785 states/eV per atom. As for the space group: Immm (71). As for the formation energy (no corrections): -0.33 eV/atom. The energy above the most stable polymorph in this dataset is 249 meV per atom. Its total magnetic moment is 0.000 μB/atom.



No. 7
MgScCl2 | GGA-PBE | optimized geometry

The structure in POSCAR format:
```
MgScCl2
1.0
4.9316 -0.2625 -0.0783
3.9465 2.9689 -0.0783
1.8112 0.5521 6.7195
Cl Mg Sc
2 1 1
direct
0.9242 0.9242 0.1332 Cl
0.7272 0.7272 0.7987 Cl
0.6288 0.6288 0.4785 Mg
0.2198 0.2198 0.0896 Sc
```

Output
The mass density is 2.20 Mg/m³. As for the total DFT energy (no corrections): -4.040 eV per atom. The density of states at the Fermi level comes out at 0.504 states/eV per atom. As for the space group: Cm (8). As for the formation energy (no corrections): -1.14 eV/atom. The energy above the most stable polymorph in this dataset is 97 meV per atom. Its total magnetic moment is 0.221 μB/atom.



No. 8
MgScCl4 | GGA-PBE | optimized geometry

The structure in POSCAR format:
```
MgScCl4
1.0
0.0000 4.1461 4.1461
4.1461 0.0000 4.1461
4.1461 4.1461 0.0000
Mg Sc Cl
1 1 4
direct
0.7500 0.7500 0.7500 Mg
0.0000 0.0000 0.0000 Sc
0.8752 0.3749 0.3749 Cl
0.3749 0.3749 0.8752 Cl
0.3749 0.8752 0.3749 Cl
0.3749 0.3749 0.3749 Cl
```

Output
The mass density is 2.46 Mg/m³. As for the total DFT energy (no corrections): -2.579 eV per atom. The density of states at the Fermi level comes out at 1.044 states/eV per atom. As for the space group: F-43m (216). As for the formation energy (no corrections): -0.03 eV/atom. The energy above the most stable polymorph in this dataset is 1798 meV per atom. Its total magnetic moment is 0.148 μB/atom.



No. 9
MgScCl2 | GGA-PBE | optimized geometry

The structure in POSCAR format:
```
MgScCl2
1.0
-0.1028 -0.5014 5.0814
0.7496 -4.7832 -1.6252
3.2727 0.4744 0.1130
Cl Mg Sc
2 1 1
direct
0.0000 0.0000 0.0000 Cl
0.5000 0.5000 0.0000 Cl
0.5000 0.0000 0.5000 Mg
0.0000 0.5000 0.5000 Sc
```

Output
The mass density is 2.77 Mg/m³. As for the total DFT energy (no corrections): -3.572 eV per atom. The density of states at the Fermi level comes out at 0.442 states/eV per atom. As for the space group: Cmmm (65). As for the formation energy (no corrections): -0.67 eV/atom. The energy above the most stable polymorph in this dataset is 566 meV per atom. Its total magnetic moment is 0.000 μB/atom.



No. 10
MgScCl2 | GGA-PBE | optimized geometry

The structure in POSCAR format:
```
MgScCl2
1.0
6.7467 0.0556 0.0000
4.6362 4.9017 0.0000
-5.6915 -2.4787 2.6429
Cl Mg Sc
2 1 1
direct
0.0000 0.0000 0.0000 Cl
0.2500 0.7500 0.5000 Cl
0.5000 0.5000 0.0000 Mg
0.7500 0.2500 0.5000 Sc
```

Output
The mass density is 2.68 Mg/m³. As for the total DFT energy (no corrections): -3.693 eV per atom. The density of states at the Fermi level comes out at 0.458 states/eV per atom. As for the space group: I-4m2 (119). As for the formation energy (no corrections): -0.79 eV/atom. The energy above the most stable polymorph in this dataset is 445 meV per atom. Its total magnetic moment is 0.000 μB/atom.



No. 11
MgScCl | GGA-PBE | optimized geometry

The structure in POSCAR format:
```
MgScCl
1.0
4.9158 0.0000 0.0000
2.4579 4.2572 0.0000
2.4579 1.4191 4.0137
Cl Mg Sc
1 1 1
direct
0.0000 0.0000 0.0000 Cl
0.5000 0.5000 0.5000 Mg
0.7500 0.7500 0.7500 Sc
```

Output
The mass density is 2.07 Mg/m³. As for the total DFT energy (no corrections): -3.154 eV per atom. The density of states at the Fermi level comes out at 1.368 states/eV per atom. As for the space group: F-43m (216). As for the formation energy (no corrections): 0.10 eV/atom. The energy above the most stable polymorph in this dataset is 899 meV per atom. Its total magnetic moment is 0.591 μB/atom.



No. 12
MgScCl5 | GGA-PBE | optimized geometry

The structure in POSCAR format:
```
MgScCl5
1.0
0.4893 1.0223 6.8671
3.6590 -5.2271 4.0445
7.6546 4.7776 2.0934
Mg Sc Cl
2 2 10
direct
0.5348 0.9305 0.7500 Mg
0.4652 0.0695 0.2500 Mg
0.0000 0.0000 0.0000 Sc
0.0000 0.0000 0.5000 Sc
0.3507 0.7163 0.8524 Cl
0.5759 0.1729 0.5485 Cl
0.0670 0.2837 0.3524 Cl
0.9216 0.1569 0.7500 Cl
0.2513 0.1729 0.9515 Cl
0.7487 0.8271 0.0485 Cl
0.0784 0.8431 0.2500 Cl
0.9330 0.7163 0.6476 Cl
0.4241 0.8271 0.4515 Cl
0.6493 0.2837 0.1476 Cl
```

Output
The mass density is 2.03 Mg/m³. As for the total DFT energy (no corrections): -4.381 eV per atom. The density of states at the Fermi level comes out at 0.000 states/eV per atom. As for the space group: C2/c (15). As for the formation energy (no corrections): -1.93 eV/atom. Its total magnetic moment is 0.000 μB/atom.



No. 13
MgScCl | GGA-PBE | optimized geometry

The structure in POSCAR format:
```
MgScCl
1.0
-1.1388 -0.5526 -4.4296
1.7766 -3.4971 -2.4161
-2.6843 -3.5235 -1.2660
Cl Mg Sc
1 1 1
direct
0.7500 0.7500 0.7500 Cl
0.0000 0.0000 0.0000 Mg
0.5000 0.5000 0.5000 Sc
```

Output
The mass density is 2.52 Mg/m³. As for the total DFT energy (no corrections): -3.393 eV per atom. The density of states at the Fermi level comes out at 0.715 states/eV per atom. As for the space group: F-43m (216). As for the formation energy (no corrections): -0.14 eV/atom. The energy above the most stable polymorph in this dataset is 660 meV per atom. Its total magnetic moment is 0.000 μB/atom.



No. 14
MgScCl2 | GGA-PBE | optimized geometry

The structure in POSCAR format:
```
MgScCl2
1.0
5.0785 0.0000 0.0000
2.5393 4.3981 0.0000
2.5393 1.4660 4.1466
Cl Mg Sc
2 1 1
direct
0.0000 0.0000 0.0000 Cl
0.7500 0.7500 0.7500 Cl
0.5000 0.5000 0.5000 Mg
0.2500 0.2500 0.2500 Sc
```

Output
The mass density is 2.51 Mg/m³. As for the total DFT energy (no corrections): -3.234 eV per atom. The density of states at the Fermi level comes out at 1.313 states/eV per atom. As for the space group: F-43m (216). As for the formation energy (no corrections): -0.33 eV/atom. The energy above the most stable polymorph in this dataset is 904 meV per atom. Its total magnetic moment is 0.244 μB/atom.



No. 15
MgScCl2 | GGA-PBE | optimized geometry

The structure in POSCAR format:
```
MgScCl2
1.0
-0.8073 -5.2347 -1.7689
2.3088 2.2792 -4.5450
2.9965 -1.5442 -0.8162
Cl Mg Sc
2 1 1
direct
0.0000 0.0000 0.0000 Cl
0.5000 0.5000 0.0000 Cl
0.5000 0.0000 0.5000 Mg
0.0000 0.5000 0.5000 Sc
```

Output
The mass density is 2.68 Mg/m³. As for the total DFT energy (no corrections): -3.817 eV per atom. The density of states at the Fermi level comes out at 0.466 states/eV per atom. As for the space group: C2/m (12). As for the formation energy (no corrections): -0.91 eV/atom. The energy above the most stable polymorph in this dataset is 320 meV per atom. Its total magnetic moment is 0.000 μB/atom.



No. 16
Mg2ScCl | GGA-PBE | optimized geometry

The structure in POSCAR format:
```
Mg2ScCl
1.0
3.2881 0.0000 0.0000
0.0000 3.2881 0.0000
0.0000 0.0000 8.9391
Cl Mg Sc
1 2 1
direct
0.5000 0.5000 0.6707 Cl
0.0000 0.0000 0.0428 Mg
0.5000 0.5000 0.2701 Mg
0.0000 0.0000 0.5165 Sc
```

Output
The mass density is 2.22 Mg/m³. As for the total DFT energy (no corrections): -3.355 eV per atom. The density of states at the Fermi level comes out at 0.807 states/eV per atom. As for the space group: P4mm (99). As for the formation energy (no corrections): -0.51 eV/atom. The energy above the most stable polymorph in this dataset is 69 meV per atom. Its total magnetic moment is 0.080 μB/atom.



No. 17
Mg2ScCl | GGA-PBE | optimized geometry

The structure in POSCAR format:
```
Mg2ScCl
1.0
-2.4406 1.4716 -1.6103
-0.9724 -2.4221 1.9755
-0.9301 5.9826 6.8773
Cl Mg Sc
1 2 1
direct
0.5000 0.5000 0.7500 Cl
0.0000 0.0000 0.9776 Mg
0.0000 0.0000 0.5224 Mg
0.5000 0.5000 0.2500 Sc
```

Output
The mass density is 2.39 Mg/m³. As for the total DFT energy (no corrections): -3.316 eV per atom. The density of states at the Fermi level comes out at 0.680 states/eV per atom. As for the space group: Cmmm (65). As for the formation energy (no corrections): -0.47 eV/atom. The energy above the most stable polymorph in this dataset is 108 meV per atom. Its total magnetic moment is 0.000 μB/atom.



No. 18
Mg3ScCl | GGA-PBE | optimized geometry

The structure in POSCAR format:
```
Mg3ScCl
1.0
-1.3269 2.7265 -5.1051
-0.7681 -5.2742 -2.6172
-5.7364 0.0755 1.5313
Sc Mg Cl
1 3 1
direct
0.0000 0.0000 0.0000 Sc
0.0000 0.5000 0.0000 Mg
0.0000 0.0000 0.5000 Mg
0.5000 0.0000 0.0000 Mg
0.5000 0.5000 0.5000 Cl
```

Output
The mass density is 1.22 Mg/m³. As for the total DFT energy (no corrections): -1.949 eV per atom. The density of states at the Fermi level comes out at 0.557 states/eV per atom. As for the space group: Pm-3m (221). As for the formation energy (no corrections): 0.64 eV/atom. The energy above the most stable polymorph in this dataset is 554 meV per atom. Its total magnetic moment is 0.000 μB/atom.



No. 19
MgScCl2 | GGA-PBE | optimized geometry

The structure in POSCAR format:
```
MgScCl2
1.0
-0.1091 -6.1527 -4.9315
6.2478 2.9413 -3.8080
6.3053 -4.2695 -1.1179
Sc Mg Cl
2 2 4
direct
0.0000 0.0000 0.0000 Sc
0.7500 0.2500 0.5000 Sc
0.5000 0.5000 0.0000 Mg
0.2500 0.7500 0.5000 Mg
0.7956 0.1250 0.2500 Cl
0.9544 0.6250 0.2500 Cl
0.3750 0.2044 0.7500 Cl
0.8750 0.0456 0.7500 Cl
```

Output
The mass density is 1.41 Mg/m³. As for the total DFT energy (no corrections): -3.743 eV per atom. The density of states at the Fermi level comes out at 0.067 states/eV per atom. As for the space group: I-42d (122). As for the formation energy (no corrections): -0.84 eV/atom. The energy above the most stable polymorph in this dataset is 395 meV per atom. Its total magnetic moment is 0.250 μB/atom.



No. 20
Mg2ScCl | GGA-PBE | optimized geometry

The structure in POSCAR format:
```
Mg2ScCl
1.0
5.7472 0.0150 0.0000
2.4585 5.1949 0.0000
-4.1029 -2.6049 3.0679
Cl Mg Sc
1 2 1
direct
0.7500 0.2500 0.5000 Cl
0.0000 0.0000 0.0000 Mg
0.2500 0.7500 0.5000 Mg
0.5000 0.5000 0.0000 Sc
```

Output
The mass density is 2.34 Mg/m³. As for the total DFT energy (no corrections): -3.029 eV per atom. The density of states at the Fermi level comes out at 0.740 states/eV per atom. As for the space group: I-4m2 (119). As for the formation energy (no corrections): -0.19 eV/atom. The energy above the most stable polymorph in this dataset is 395 meV per atom. Its total magnetic moment is 0.005 μB/atom.